1.
The following is a GGA-PBE calculation of an optimized crystal structure of KSi4Br, from Alexandria.

Properties
E_tot = -3.685 eV/atom

abc: 5.5074 5.5074 5.5074
angles: 60.00 60.00 60.00
Closest atoms and distances in Å follow each position.
Fractional positions:
1 K 0.0000 0.0000 0.0000  12 Si 3.23, 4 Br 3.37
2 Si 0.1246 0.6251 0.6251  6 Si 2.75-2.76
3 Si 0.6251 0.1246 0.6251  6 Si 2.75-2.76
4 Si 0.6251 0.6251 0.1246  6 Si 2.75-2.76
5 Si 0.6251 0.6251 0.6251  6 Si 2.75-2.76
6 Br 0.2500 0.2500 0.2500  12 Si 3.23, 4 K 3.37

2.
The following is a GGA-PBE calculation of an optimized crystal structure of KSiBr2, from Alexandria.

Properties
ΔE to the lowest computed polymorph = 0.689 eV per atom

abc: 5.5272 5.5272 5.5272
angles: 60.00 60.00 60.00
Closest atoms and distances in Å follow each position.
Fractional positions:
1 K 0.0000 0.0000 0.0000  4 Br 3.38, 4 Si 3.38
2 Si 0.2500 0.2500 0.2500  4 Br 3.38, 4 K 3.38
3 Br 0.5000 0.5000 0.5000  4 Br 3.38, 4 Si 3.38
4 Br 0.7500 0.7500 0.7500  4 K 3.38, 4 Br 3.38

3.
The following is a GGA-PBE calculation of an optimized crystal structure of K2SiBr, from Alexandria.

Properties
ΔE to the lowest computed polymorph = 0.424 eV per atom

abc: 5.8633 5.8633 5.8633
angles: 60.00 60.00 60.00
Closest atoms and distances in Å follow each position.
Fractional positions:
1 K 0.0000 0.0000 0.0000  4 Si 3.59, 4 K 3.59
2 K 0.2500 0.2500 0.2500  4 Br 3.59, 4 K 3.59
3 Si 0.7500 0.7500 0.7500  4 K 3.59, 4 Br 3.59
4 Br 0.5000 0.5000 0.5000  4 Si 3.59, 4 K 3.59

4.
The following is a GGA-PBE calculation of an optimized crystal structure of KSiBr2, from Alexandria.

Properties
ΔE to the lowest computed polymorph = 0.065 eV per atom

abc: 3.8244 4.0818 7.7078
angles: 90.00 90.18 90.00
Closest atoms and distances in Å follow each position.
Fractional positions:
1 K 0.0000 0.0000 0.0000  8 Br 3.39-3.40
2 Si 0.5000 0.0000 0.5000  4 Br 2.81
3 Br 0.5001 0.5000 0.2494  2 Si 2.81
4 Br 0.4999 0.5000 0.7506  2 Si 2.81